A plane-wave DFT calculation with PBE-GGA was carried out for an optimized crystal structure of SmErBeHg.

It has space group F-43m (No. 216), with a = 7.253 Å, b = 7.253 Å, c = 7.253 Å, α = 90.00°, β = 90.00° and γ = 90.00°. The distinct sites, in fractional coordinates, are Sm at (0.000, 0.000, 0.000), Er at (0.000, 0.000, 0.500), Be at (0.250, 0.250, 0.250) and Hg at (0.250, 0.250, 0.750).

The calculation puts the density of states at the Fermi level at 18.5 states/eV per cell. The calculation puts the mass density at 9.2 g/cm³. As for the total DFT energy (no corrections): -3.427 eV per atom.


A plane-wave DFT calculation with PBE-GGA was carried out for an optimized crystal structure of TbErBeHg.

It has space group F-43m (No. 216), with a = 7.188 Å, b = 7.188 Å, c = 7.188 Å, α = 90.00°, β = 90.00° and γ = 90.00°. The distinct sites, in fractional coordinates, are Tb at (0.000, 0.000, 0.000), Er at (0.000, 0.000, 0.500), Be at (0.250, 0.250, 0.750) and Hg at (0.250, 0.250, 0.250).

The calculation puts the density of states at the Fermi level at 15.8 states/eV per cell. The calculation puts the mass density at 9.6 g/cm³. As for the total DFT energy (no corrections): -3.427 eV per atom.


A plane-wave DFT calculation with PBE-GGA was carried out for an optimized crystal structure of ErTmBeHg.

It has space group F-43m (No. 216), with a = 7.118 Å, b = 7.118 Å, c = 7.118 Å, α = 90.00°, β = 90.00° and γ = 90.00°. The distinct sites, in fractional coordinates, are Er at (0.000, 0.000, 0.000), Tm at (0.000, 0.000, 0.500), Be at (0.250, 0.250, 0.250) and Hg at (0.250, 0.250, 0.750).

The calculation puts the density of states at the Fermi level at 13.2 states/eV per cell. The calculation puts the mass density at 10.1 g/cm³. As for the total DFT energy (no corrections): -3.400 eV per atom.


A plane-wave DFT calculation with PBE-GGA was carried out for an optimized crystal structure of YErBeHg.

It has space group F-43m (No. 216), with a = 7.178 Å, b = 7.178 Å, c = 7.178 Å, α = 90.00°, β = 90.00° and γ = 90.00°. The distinct sites, in fractional coordinates, are Y at (0.000, 0.000, 0.000), Er at (0.000, 0.000, 0.500), Be at (0.250, 0.250, 0.750) and Hg at (0.250, 0.250, 0.250).

The calculation puts the density of states at the Fermi level at 14.4 states/eV per cell. The calculation puts the mass density at 8.4 g/cm³. As for the total DFT energy (no corrections): -3.903 eV per atom.


A plane-wave DFT calculation with PBE-GGA was carried out for an optimized crystal structure of Ho2ErBe.

It has space group R-3m (No. 166, hexagonal axes), with a = 3.3968 Å, b = 3.3968 Å, c = 33.9644 Å, α = 90.00°, β = 90.00° and γ = 120.00°. The distinct sites, in fractional coordinates, are Ho at (0.0000, 0.0000, 0.0846), Er at (0.0000, 0.0000, 0.5000) and Be at (0.0000, 0.0000, 0.0000).

The calculation puts the density of states at the Fermi level at 10.7 states/eV per cell. The calculation puts the mass density at 7.4 g/cm³. The value obtained for the energy above the most stable polymorph in this dataset is 609 meV/atom.


A plane-wave DFT calculation with PBE-GGA was carried out for an optimized crystal structure of HoErBe.

It has space group I4mm (No. 107), with a = 3.432 Å, b = 3.432 Å, c = 11.904 Å, α = 90.00°, β = 90.00° and γ = 90.00°. The distinct sites, in fractional coordinates, are Ho at (0.000, 0.000, 0.000), Er at (0.000, 0.000, 0.272) and Be at (0.000, 0.000, 0.637).

The calculation puts the density of states at the Fermi level at 6.4 states/eV per cell. The calculation puts the mass density at 8.1 g/cm³. As for the total DFT energy (no corrections): -4.213 eV per atom.


A plane-wave DFT calculation with PBE-GGA was carried out for an optimized crystal structure of Ho2ErBe.

It has space group P4/mmm (No. 123), with a = 3.446 Å, b = 3.446 Å, c = 8.476 Å, α = 90.00°, β = 90.00° and γ = 90.00°. The distinct sites, in fractional coordinates, are Ho at (0.000, 0.000, 0.195), Er at (0.500, 0.500, 0.500) and Be at (0.500, 0.500, 0.000).

The calculation puts the density of states at the Fermi level at 4.2 states/eV per cell. The calculation puts the mass density at 8.4 g/cm³. The value obtained for the energy above the most stable polymorph in this dataset is 0 meV/atom.


A plane-wave DFT calculation with PBE-GGA was carried out for an optimized crystal structure of HoErBe4.

It has space group F-43m (No. 216), with a = 7.077 Å, b = 7.077 Å, c = 7.077 Å, α = 90.00°, β = 90.00° and γ = 90.00°. The distinct sites, in fractional coordinates, are Ho at (0.000, 0.000, 0.000), Er at (0.250, 0.250, 0.250) and Be at (0.125, 0.125, 0.625).

The calculation puts the density of states at the Fermi level at 13.5 states/eV per cell. The calculation puts the mass density at 6.9 g/cm³. As for the total DFT energy (no corrections): -3.935 eV per atom.


A plane-wave DFT calculation with PBE-GGA was carried out for an optimized crystal structure of LiHoErBe.

It has space group F-43m (No. 216), with a = 6.996 Å, b = 6.996 Å, c = 6.996 Å, α = 90.00°, β = 90.00° and γ = 90.00°. The distinct sites, in fractional coordinates, are Li at (0.000, 0.000, 0.000), Ho at (0.250, 0.250, 0.750), Er at (0.250, 0.250, 0.250) and Be at (0.000, 0.000, 0.500).

The calculation puts the density of states at the Fermi level at 18.4 states/eV per cell. The calculation puts the mass density at 6.8 g/cm³. As for the total DFT energy (no corrections): -3.565 eV per atom.


A plane-wave DFT calculation with PBE-GGA was carried out for an optimized crystal structure of HoErMgBe.

It has space group F-43m (No. 216), with a = 7.151 Å, b = 7.151 Å, c = 7.151 Å, α = 90.00°, β = 90.00° and γ = 90.00°. The distinct sites, in fractional coordinates, are Ho at (0.000, 0.000, 0.000), Er at (0.000, 0.000, 0.500), Mg at (0.250, 0.250, 0.250) and Be at (0.250, 0.250, 0.750).

The calculation puts the density of states at the Fermi level at 16.4 states/eV per cell. The calculation puts the mass density at 6.6 g/cm³. As for the total DFT energy (no corrections): -3.526 eV per atom.


A plane-wave DFT calculation with PBE-GGA was carried out for an optimized crystal structure of HoErBePd.

It has space group F-43m (No. 216), with a = 6.902 Å, b = 6.902 Å, c = 6.902 Å, α = 90.00°, β = 90.00° and γ = 90.00°. The distinct sites, in fractional coordinates, are Ho at (0.000, 0.000, 0.000), Er at (0.000, 0.000, 0.500), Be at (0.250, 0.250, 0.750) and Pd at (0.250, 0.250, 0.250).

The calculation puts the density of states at the Fermi level at 9.5 states/eV per cell. The calculation puts the mass density at 9.0 g/cm³. As for the total DFT energy (no corrections): -4.895 eV per atom.


A plane-wave DFT calculation with PBE-GGA was carried out for an optimized crystal structure of HoErBeZn.

It has space group F-43m (No. 216), with a = 6.943 Å, b = 6.943 Å, c = 6.943 Å, α = 90.00°, β = 90.00° and γ = 90.00°. The distinct sites, in fractional coordinates, are Ho at (0.000, 0.000, 0.000), Er at (0.000, 0.000, 0.500), Be at (0.250, 0.250, 0.250) and Zn at (0.250, 0.250, 0.750).

The calculation puts the density of states at the Fermi level at 15.0 states/eV per cell. The calculation puts the mass density at 8.1 g/cm³. As for the total DFT energy (no corrections): -3.655 eV per atom.